Entry 1:
Here is a relaxed structure of Pr3InO6 from the Alexandria database. Energies are from PBE.

POSCAR file:
```
Pr3InO6
1.0
5.829 0.000 0.000
0.000 7.556 0.004
0.000 -1.682 7.366
Pr In O
6 2 12
Direct
0.476 0.911 0.699
0.976 0.699 0.911
0.428 0.398 0.602
0.928 0.602 0.398
0.976 0.089 0.301
0.476 0.301 0.089
0.997 0.187 0.813
0.497 0.813 0.187
0.203 0.674 0.645
0.703 0.645 0.674
0.192 0.426 0.897
0.692 0.897 0.426
0.168 0.030 0.970
0.650 0.218 0.782
0.150 0.782 0.218
0.668 0.970 0.030
0.192 0.103 0.574
0.692 0.574 0.103
0.203 0.355 0.326
0.703 0.326 0.355
```

Results
**Energy above the lowest structure with this stoichiometry**: 0.015 eV/atom
**SG**: No. 36
**E_tot**: -7.55 eV/atom
**ΔE_f (raw)**: -2.864 eV/atom
**DOS at the Fermi energy**: 0.0 states/eV/f.u.
**Crystal system**: orthorhombic



Entry 2:
Here is a relaxed structure of KCuAg from the Alexandria database. Energies are from PBE.

POSCAR file:
```
KCuAg
1.0
-0.145 5.301 3.528
-4.022 4.937 0.089
1.337 -6.213 0.427
Ag Cu K
1 1 1
Direct
0.941 0.941 0.000
0.393 0.393 0.000
0.666 0.666 0.000
```

Results
**DFT formation energy**: 0.7 eV per formula unit
**Energy above the lowest structure with this stoichiometry**: 0.000 eV/atom
**SG**: No. 44
**E_tot**: -2.45 eV/atom
**DOS at the Fermi energy**: 1.1 states/eV/f.u.
**Crystal system**: orthorhombic



Entry 3:
Here is a relaxed structure of Sc2MoAu from the Alexandria database. Energies are from PBE.

POSCAR file:
```
Sc2MoAu
1.0
4.707 0.000 0.000
0.000 4.710 0.000
0.000 0.000 3.371
Au Mo Sc
1 1 2
Direct
0.500 0.000 0.500
0.000 0.500 0.500
0.000 0.000 0.000
0.500 0.500 0.000
```

Results
**DFT formation energy**: -1.0 eV per formula unit
**Energy above the lowest structure with this stoichiometry**: 0.000 eV/atom
**SG**: No. 123
**E_tot**: -6.94 eV/atom
**DOS at the Fermi energy**: 5.6 states/eV/f.u.
**Crystal system**: tetragonal



Entry 4:
Here is a relaxed structure of Ce2NdTaN5 from the Alexandria database. Energies are from PBE.

POSCAR file:
```
Ce2NdTaN5
1.0
-2.354 0.570 -2.595
6.020 -2.568 -3.596
-3.509 -9.703 1.054
Ce Nd Ta N
4 2 2 10
Direct
0.868 0.737 0.771
0.107 0.214 0.688
0.132 0.263 0.271
0.893 0.786 0.188
0.777 0.554 0.488
0.223 0.446 0.988
0.525 0.051 0.965
0.475 0.949 0.465
0.388 0.777 0.026
0.656 0.312 0.869
0.481 0.963 0.784
0.281 0.563 0.681
0.949 0.897 0.552
0.612 0.223 0.526
0.344 0.688 0.369
0.519 0.037 0.284
0.719 0.437 0.181
0.051 0.103 0.052
```

Results
**SG**: No. 36
**E_tot**: -9.07 eV/atom
**ΔE_f (raw)**: -1.278 eV/atom
**DOS at the Fermi energy**: 7.1 states/eV/f.u.
**Crystal system**: orthorhombic



Entry 5:
Here is a relaxed structure of Ti6Ga3Ge from the Alexandria database. Energies are from PBE.

POSCAR file:
```
Ti6Ga3Ge
1.0
5.473 0.000 0.000
0.000 8.444 -1.560
0.000 -3.405 7.883
Ti Ga Ge
12 6 2
Direct
0.064 0.755 0.628
0.564 0.628 0.755
0.284 0.430 0.926
0.784 0.926 0.430
0.289 0.014 0.986
0.727 0.289 0.711
0.227 0.711 0.289
0.789 0.986 0.014
0.284 0.074 0.570
0.784 0.570 0.074
0.064 0.372 0.245
0.564 0.245 0.372
0.563 0.917 0.699
0.063 0.699 0.917
0.149 0.406 0.594
0.649 0.594 0.406
0.063 0.083 0.301
0.563 0.301 0.083
0.998 0.147 0.853
0.498 0.853 0.147
```

Results
**DFT formation energy**: -2.6 eV per formula unit
**SG**: No. 36
**E_tot**: -6.37 eV/atom
**DOS at the Fermi energy**: 10.7 states/eV/f.u.
**Crystal system**: orthorhombic



Entry 6:
Here is a relaxed structure of LaFe2Cl from the Alexandria database. Energies are from PBE.

POSCAR file:
```
LaFe2Cl
1.0
9.157 0.410 0.245
8.454 3.545 0.245
8.454 1.898 3.004
Cl Fe La
1 2 1
Direct
0.750 0.750 0.750
0.014 0.014 0.014
0.486 0.486 0.486
0.250 0.250 0.250
```

Results
**Energy above the lowest structure with this stoichiometry**: 0.688 eV/atom
**SG**: No. 166
**E_tot**: -5.45 eV/atom
**ΔE_f (raw)**: 0.478 eV/atom
**DOS at the Fermi energy**: 4.7 states/eV/f.u.
**Crystal system**: trigonal



Entry 7:
Here is a relaxed structure of CsZnAs2Br from the Alexandria database. Energies are from PBE.

POSCAR file:
```
CsZnAs2Br
1.0
4.943 0.000 0.000
0.000 4.943 0.000
0.000 0.000 6.598
Cs As Zn Br
1 2 1 1
Direct
0.500 0.500 0.500
0.000 0.500 0.000
0.500 0.000 0.000
0.000 0.000 0.000
0.000 0.000 0.500
```

Results
**Energy above the lowest structure with this stoichiometry**: 0.000 eV/atom
**SG**: No. 123
**E_tot**: -2.72 eV/atom
**ΔE_f (raw)**: -0.103 eV/atom
**DOS at the Fermi energy**: 2.4 states/eV/f.u.
**Crystal system**: tetragonal



Entry 8:
Here is a relaxed structure of Pm5Cu2Ni5 from the Alexandria database. Energies are from PBE.

POSCAR file:
```
Pm5Cu2Ni5
1.0
3.825 0.000 0.863
1.907 7.284 0.456
0.046 -0.442 8.705
Pm Cu Ni
5 2 5
Direct
0.000 0.500 0.500
0.681 0.718 0.921
0.373 0.927 0.328
0.627 0.073 0.672
0.319 0.282 0.079
0.384 0.467 0.764
0.616 0.533 0.236
0.713 0.225 0.349
0.938 0.288 0.835
0.062 0.712 0.165
0.287 0.775 0.651
0.000 0.000 0.000
```

Results
**DFT formation energy**: -3.1 eV per formula unit
**SG**: No. 12
**E_tot**: -5.33 eV/atom
**DOS at the Fermi energy**: 9.2 states/eV/f.u.
**Crystal system**: monoclinic



Entry 9:
Here is a relaxed structure of PrTm2Mg from the Alexandria database. Energies are from PBE.

POSCAR file:
```
PrTm2Mg
1.0
3.549 0.000 0.000
1.775 3.074 0.000
1.775 1.025 11.181
Pr Tm Mg
1 2 1
Direct
0.500 0.500 0.499
0.078 0.078 0.767
0.256 0.256 0.233
0.666 0.666 0.001
```

Results
**DFT formation energy**: 0.2 eV per formula unit
**Energy above the lowest structure with this stoichiometry**: 0.077 eV/atom
**SG**: No. 160
**E_tot**: -3.78 eV/atom
**DOS at the Fermi energy**: 5.9 states/eV/f.u.
**Crystal system**: trigonal



Entry 10:
Here is a relaxed structure of Ba3RuBr2O6 from the Alexandria database. Energies are from PBE.

POSCAR file:
```
Ba3RuBr2O6
1.0
6.260 0.000 0.605
0.000 7.200 0.000
0.037 -3.600 6.362
Ba Ru Br O
3 1 2 6
Direct
0.000 0.500 0.000
0.500 0.500 0.500
0.500 0.000 0.500
0.500 0.000 0.000
0.088 0.733 0.467
0.912 0.267 0.533
0.677 0.240 0.096
0.323 0.760 0.904
0.654 0.864 0.729
0.346 0.136 0.271
0.323 0.144 0.904
0.677 0.856 0.096
```

Results
**SG**: No. 12
**E_tot**: -5.50 eV/atom
**ΔE_f (raw)**: -1.491 eV/atom
**DOS at the Fermi energy**: 2.8 states/eV/f.u.
**Crystal system**: monoclinic



Entry 11:
Here is a relaxed structure of KLaPt2 from the Alexandria database. Energies are from PBE.

POSCAR file:
```
KLaPt2
1.0
-2.489 -1.759 -7.459
-6.386 -3.859 3.041
-6.058 -0.188 -2.287
K Pt La
2 4 2
Direct
0.500 0.500 0.000
0.250 0.750 0.500
0.647 0.125 0.250
0.103 0.625 0.250
0.375 0.353 0.750
0.875 0.897 0.750
0.000 0.000 0.000
0.750 0.250 0.500
```

Results
**DFT formation energy**: -1.4 eV per formula unit
**SG**: No. 122
**E_tot**: -4.88 eV/atom
**DOS at the Fermi energy**: 0.6 states/eV/f.u.
**Crystal system**: tetragonal



Entry 12:
Here is a relaxed structure of Rb2DySb4Au3 from the Alexandria database. Energies are from PBE.

POSCAR file:
```
Rb2DySb4Au3
1.0
4.887 0.000 0.000
0.000 4.887 0.000
0.000 0.000 12.210
Rb Dy Sb Au
2 1 4 3
Direct
0.500 0.000 0.243
0.000 0.500 0.757
0.500 0.500 0.500
0.500 0.500 0.000
0.000 0.000 0.000
0.500 0.000 0.642
0.000 0.500 0.358
0.000 0.000 0.500
0.500 0.000 0.876
0.000 0.500 0.124
```

Results
**SG**: No. 115
**E_tot**: -3.74 eV/atom
**ΔE_f (raw)**: -0.453 eV/atom
**DOS at the Fermi energy**: 2.2 states/eV/f.u.
**Crystal system**: tetragonal